No. 1
# Rb3BPb GGA-PBE optimized geometry
data_Rb3BPb
_symmetry_space_group_name_H-M 'P m -3 m'
_symmetry_Int_Tables_number 221
_symmetry_space_group_name_Hall '-P 4 2 3'
_cell_length_a 6.293
_cell_length_b 6.293
_cell_length_c 6.293
_cell_angle_alpha 90.00
_cell_angle_beta 90.00
_cell_angle_gamma 90.00
loop_
_atom_site_label
_atom_site_fract_x
_atom_site_fract_y
_atom_site_fract_z
Rb1 0.000 0.000 0.500
B1 0.000 0.000 0.000
Pb1 0.500 0.500 0.500
# Energy relative to the lowest polymorph listed for this composition: 0 meV per atom
# D(E_F): 10.8 states/eV per cell
# E_tot: -1.7413 eV/atom



No. 2
# Ac2LuZn GGA-PBE optimized geometry
data_Ac2LuZn
_symmetry_space_group_name_H-M 'R -3 m'
_symmetry_Int_Tables_number 166
_symmetry_space_group_name_Hall '-R 3 2"'
_cell_length_a 3.7044
_cell_length_b 3.7044
_cell_length_c 36.1274
_cell_angle_alpha 90.00
_cell_angle_beta 90.00
_cell_angle_gamma 120.00
loop_
_atom_site_label
_atom_site_fract_x
_atom_site_fract_y
_atom_site_fract_z
Ac1 0.0000 0.0000 0.0984
Lu1 0.0000 0.0000 0.0000
Zn1 0.0000 0.0000 0.5000
# Energy relative to the lowest polymorph listed for this composition: 331 meV per atom
# D(E_F): 15.3 states/eV per cell
# E_tot: -3.2403 eV/atom



No. 3
# Sm2HfZrP4 GGA-PBE optimized geometry
data_Sm2HfZrP4
_symmetry_space_group_name_H-M 'P 1 2/m 1'
_symmetry_Int_Tables_number 10
_cell_length_a 6.728
_cell_length_b 3.880
_cell_length_c 6.816
_cell_angle_alpha 90.00
_cell_angle_beta 109.25
_cell_angle_gamma 90.00
loop_
_symmetry_equiv_pos_as_xyz
'x,y,z'
'-x,-y,-z'
'-x,y,-z'
'x,-y,z'
loop_
_atom_site_label
_atom_site_fract_x
_atom_site_fract_y
_atom_site_fract_z
Sm1 0.000 0.000 0.000
Sm2 0.500 0.500 0.000
Hf1 0.000 0.500 0.500
Zr1 0.500 0.000 0.500
P1 0.240 0.000 0.726
P2 0.255 0.500 0.272
# D(E_F): 3.8 states/eV per cell
# E_tot: -7.6372 eV/atom



No. 4
# Na4LaTl5 GGA-PBE optimized geometry
data_Na4LaTl5
_symmetry_space_group_name_H-M 'P 4/m m m'
_symmetry_Int_Tables_number 123
_symmetry_space_group_name_Hall '-P 4 2'
_cell_length_a 3.866
_cell_length_b 3.866
_cell_length_c 19.092
_cell_angle_alpha 90.00
_cell_angle_beta 90.00
_cell_angle_gamma 90.00
loop_
_atom_site_label
_atom_site_fract_x
_atom_site_fract_y
_atom_site_fract_z
Na1 0.000 0.000 0.098
Na2 0.000 0.000 0.293
La1 0.000 0.000 0.500
Tl1 0.500 0.500 0.000
Tl2 0.500 0.500 0.198
Tl3 0.500 0.500 0.389
# D(E_F): 6.3 states/eV per cell
# E_tot: -2.3622 eV/atom



No. 5
# NaSrHfO4 GGA-PBE optimized geometry
data_NaSrHfO4
_symmetry_space_group_name_H-M 'I 4 m m'
_symmetry_Int_Tables_number 107
_symmetry_space_group_name_Hall 'I 4 -2'
_cell_length_a 4.113
_cell_length_b 4.113
_cell_length_c 12.684
_cell_angle_alpha 90.00
_cell_angle_beta 90.00
_cell_angle_gamma 90.00
loop_
_atom_site_label
_atom_site_fract_x
_atom_site_fract_y
_atom_site_fract_z
Na1 0.000 0.000 0.000
Sr1 0.000 0.000 0.701
Hf1 0.000 0.000 0.354
O1 0.000 0.000 0.183
O2 0.000 0.000 0.512
O3 0.000 0.500 0.338
# D(E_F): 9.2 states/eV per cell
# E_tot: -7.2634 eV/atom



No. 6
# TlIrRh2 GGA-PBE optimized geometry
data_TlIrRh2
_symmetry_space_group_name_H-M 'I m m m'
_symmetry_Int_Tables_number 71
_symmetry_space_group_name_Hall '-I 2 2'
_cell_length_a 2.886
_cell_length_b 4.816
_cell_length_c 9.500
_cell_angle_alpha 90.00
_cell_angle_beta 90.00
_cell_angle_gamma 90.00
loop_
_atom_site_label
_atom_site_fract_x
_atom_site_fract_y
_atom_site_fract_z
Tl1 0.000 0.000 0.000
Ir1 0.000 0.000 0.500
Rh1 0.000 0.500 0.238
# Energy relative to the lowest polymorph listed for this composition: 203 meV per atom
# D(E_F): 11.6 states/eV per cell
# E_tot: -6.0802 eV/atom



No. 7
# KNaFe2 GGA-PBE optimized geometry
data_KNaFe2
_symmetry_space_group_name_H-M 'I -4 2 d'
_symmetry_Int_Tables_number 122
_symmetry_space_group_name_Hall 'I -4 2bw'
_cell_length_a 4.508
_cell_length_b 4.508
_cell_length_c 21.886
_cell_angle_alpha 90.00
_cell_angle_beta 90.00
_cell_angle_gamma 90.00
loop_
_atom_site_label
_atom_site_fract_x
_atom_site_fract_y
_atom_site_fract_z
K1 0.000 0.000 0.000
Na1 0.000 0.000 0.500
Fe1 0.056 0.750 0.625
# Energy relative to the lowest polymorph listed for this composition: 0 meV per atom
# D(E_F): 18.8 states/eV per cell
# E_tot: -3.6810 eV/atom



No. 8
# Mg2ScTc GGA-PBE optimized geometry
data_Mg2ScTc
_symmetry_space_group_name_H-M 'P 4/m m m'
_symmetry_Int_Tables_number 123
_symmetry_space_group_name_Hall '-P 4 2'
_cell_length_a 2.857
_cell_length_b 2.857
_cell_length_c 9.368
_cell_angle_alpha 90.00
_cell_angle_beta 90.00
_cell_angle_gamma 90.00
loop_
_atom_site_label
_atom_site_fract_x
_atom_site_fract_y
_atom_site_fract_z
Mg1 0.000 0.000 0.221
Sc1 0.500 0.500 0.500
Tc1 0.500 0.500 0.000
# Energy relative to the lowest polymorph listed for this composition: 209 meV per atom
# D(E_F): 3.8 states/eV per cell
# E_tot: -4.7454 eV/atom



- What is the formula in the fourth record?
  Na4LaTl5